(1)
Material: PrNd2Si4
Method: DFT, PBE
State: optimized geometry

a b c (Å): 3.9601 4.4609 17.9586
angles (deg): 90.00 90.00 90.00
Space group Immm (No. 71)
Unique sites:
Pr1 0.0000 0.0000 0.0000
Nd1 0.0000 0.5000 0.3181
Si1 0.0000 0.0000 0.4340
Si2 0.0000 0.5000 0.1458

Values from the calculation:
total magnetization: 0.0 μB/f.u.
E: -5.8733 eV/atom

(2)
Material: LaPm5Ho2Th
Method: DFT, PBE
State: optimized geometry

a b c (Å): 5.7178 20.2656 10.6081
angles (deg): 90.00 90.00 90.00
Space group Cmc2_1 (No. 36)
Unique sites:
La1 0.0000 0.0857 0.0000
Pm1 0.0000 0.0222 0.2933
Pm2 0.0000 0.1139 0.5809
Pm3 0.0000 0.2074 0.2580
Pm4 0.0000 0.2223 0.8702
Pm5 0.0000 0.4841 0.5785
Ho1 0.0000 0.3847 0.8727
Ho2 0.0000 0.3873 0.2889
Th1 0.0000 0.3004 0.5677

Values from the calculation:
ΔH_f (0 K): 0.161 eV/atom
total magnetization: 0.0 μB/f.u.
E: -4.8679 eV/atom

(3)
Material: Hf3BeV
Method: DFT, PBE
State: optimized geometry

a b c (Å): 4.6603 4.6603 4.6603
angles (deg): 90.00 90.00 90.00
Space group Pm-3m (No. 221)
Unique sites:
Hf1 0.0000 0.0000 0.5000
Be1 0.0000 0.0000 0.0000
V1 0.5000 0.5000 0.5000

Values from the calculation:
ΔH_f (0 K): 0.599 eV/atom
total magnetization: 3.5 μB/f.u.
E: -7.9420 eV/atom
energy relative to the lowest polymorph listed for this composition: 0.00 eV/f.u.

(4)
Material: PaAs3Ru2
Method: DFT, PBE
State: optimized geometry

a b c (Å): 3.8586 9.1269 6.2641
angles (deg): 90.00 90.00 90.00
Space group Pmc2_1 (No. 26)
Unique sites:
Pa1 0.0000 0.1320 0.0000
As1 0.0000 0.4166 0.7887
As2 0.5000 0.0864 0.6561
As3 0.5000 0.2761 0.2663
Ru1 0.0000 0.2325 0.5115
Ru2 0.5000 0.5005 0.0031

Values from the calculation:
ΔH_f (0 K): -0.496 eV/atom
total magnetization: 0.0 μB/f.u.
E: -7.4956 eV/atom

(5)
Material: CrTeP2
Method: DFT, PBE
State: optimized geometry

a b c (Å): 2.9690 2.9690 8.3238
angles (deg): 90.00 90.00 90.00
Space group P4/mmm (No. 123)
Unique sites:
Cr1 0.0000 0.0000 0.0000
Te1 0.0000 0.0000 0.5000
P1 0.5000 0.5000 0.1471

Values from the calculation:
total magnetization: 0.0 μB/f.u.
E: -5.8286 eV/atom

(6)
Material: BiSbC
Method: DFT, PBE
State: optimized geometry

a b c (Å): 3.4420 7.0131 7.2311
angles (deg): 62.09 89.98 76.38
Space group P1 (No. 1)
Unique sites:
Bi1 0.0000 0.0000 0.0000
Bi2 0.4607 0.0767 0.4367
Sb1 0.2646 0.4861 0.5051
Sb2 0.7417 0.5314 0.9340
C1 0.8153 0.3802 0.7217
C2 0.9071 0.1891 0.1974

Values from the calculation:
total magnetization: 0.0 μB/f.u.
E: -4.8988 eV/atom
energy relative to the lowest polymorph listed for this composition: 0.30 eV/f.u.

(7)
Material: AcCdAg2
Method: DFT, PBE
State: optimized geometry

a b c (Å): 3.6674 3.6674 7.4571
angles (deg): 90.00 90.00 90.00
Space group P4/mmm (No. 123)
Unique sites:
Ac1 0.0000 0.0000 0.0000
Cd1 0.0000 0.0000 0.5000
Ag1 0.5000 0.5000 0.2969

Values from the calculation:
ΔH_f (0 K): -0.127 eV/atom
total magnetization: 0.0 μB/f.u.
E: -2.8081 eV/atom
energy relative to the lowest polymorph listed for this composition: 0.63 eV/f.u.

(8)
Material: SrPmEu
Method: DFT, PBE
State: optimized geometry

a b c (Å): 3.8913 3.8913 9.6156
angles (deg): 90.00 90.00 120.00
Space group P3m1 (No. 156)
Unique sites:
Sr1 0.0000 0.0000 0.0000
Pm1 0.6667 0.3333 0.3354
Eu1 0.3333 0.6667 0.6439

Values from the calculation:
ΔH_f (0 K): 0.104 eV/atom
total magnetization: 7.7 μB/f.u.
E: -5.4645 eV/atom